7
Lattice="5.400 0.000 0.000 0.000 5.400 0.000 2.700 2.700 7.801" Properties=species:S:1:pos:R:3 comment="GGA-PBE Mg2GaTe4, relaxed" e_form_raw_kj_per_mol_fu=-133 crystal_system=tetragonal space_group="I4/mmm (139)" pbc="T T T"
Mg 5.400 5.400 6.308
Mg 2.700 2.700 1.493
Te 5.400 5.400 3.628
Te 2.700 2.700 4.173
Te 0.000 2.700 0.000
Te 2.700 0.000 0.000
Ga 0.000 0.000 0.000

=====

11
Lattice="3.557 0.000 0.218 1.772 3.084 0.218 -0.167 -0.097 31.829" Properties=species:S:1:pos:R:3 comment="GGA-PBE Tb3Dy6Th2, relaxed" delta_e_f_ev_per_atom=0.018 crystal_system=trigonal space_group="R-3m (166)" pbc="T T T"
Tb 0.000 0.000 0.000
Tb 3.739 2.164 26.363
Tb 1.423 0.824 5.903
Dy 4.795 2.776 9.136
Dy 0.366 0.212 23.129
Dy 4.266 2.469 17.774
Dy 0.896 0.519 14.492
Dy 3.376 1.954 3.178
Dy 1.786 1.034 29.087
Th 2.845 1.647 11.825
Th 2.317 1.341 20.441

=====

8
Lattice="-3.790 -0.185 4.871 -1.157 -3.534 -4.930 2.798 -3.754 2.035" Properties=species:S:1:pos:R:3 comment="GGA-PBE LiMg6Zn, relaxed" relative_energy_mev_per_atom=0 delta_e_f_ev_per_atom=-0.037 crystal_system=orthorhombic space_group="Amm2 (38)" pbc="T T T"
Li -0.632 -4.299 -0.658
Mg -1.022 -1.231 -0.866
Mg -3.468 -3.069 -0.895
Mg -2.910 -1.305 1.594
Mg -0.036 -2.490 1.860
Mg -2.574 -4.398 1.830
Mg -1.958 -2.614 4.275
Zn -1.594 -2.979 -3.304

=====

19
Lattice="8.440 0.339 0.406 -0.944 8.394 0.406 -0.944 -1.100 8.331" Properties=species:S:1:pos:R:3 comment="GGA-PBE Sm12Tl6Ni, relaxed" delta_e_f_ev_per_atom=-0.169 crystal_system=trigonal space_group="R-3 (148)" pbc="T T T"
Sm 5.774 4.579 4.373
Sm 2.568 6.236 5.286
Sm 3.650 3.158 7.080
Sm 0.777 3.053 4.770
Sm 3.982 1.396 3.857
Sm 2.900 4.474 2.063
Sm 7.857 0.711 3.040
Sm 7.039 6.047 0.853
Sm 4.910 -0.568 7.901
Sm -1.306 6.921 6.103
Sm -0.489 1.585 8.290
Sm 1.640 8.200 1.242
Tl 4.467 7.149 2.818
Tl 5.750 2.990 1.606
Tl 0.162 5.842 3.229
Tl 2.084 0.483 6.325
Tl 0.801 4.642 7.537
Tl 6.389 1.790 5.914
Ni 0.000 0.000 0.000

=====

5
Lattice="-1.865 5.120 2.670 -1.501 -3.139 4.971 5.576 0.867 2.232" Properties=species:S:1:pos:R:3 comment="GGA-PBE RbBi3Pd, relaxed" relative_energy_mev_per_atom=1865 delta_e_f_ev_per_atom=1.604 crystal_system=cubic space_group="Pm-3m (221)" pbc="T T T"
Rb 0.000 0.000 0.000
Bi -0.751 -1.570 2.486
Bi 2.788 0.433 1.116
Bi -0.932 2.560 1.335
Pd 1.105 1.424 4.937

=====

9
Lattice="-4.027 -3.133 -4.214 5.726 -3.826 -2.779 1.853 -6.558 2.953" Properties=species:S:1:pos:R:3 comment="GGA-PBE Rb2OsBr6, relaxed" e_form_raw_kj_per_mol_fu=-747 crystal_system=monoclinic space_group="C2/m (12)" pbc="T T T"
Rb 1.895 -9.402 -3.199
Rb 1.657 -4.116 -0.841
Os 0.000 0.000 0.000
Br 2.495 -7.404 0.679
Br 5.473 -9.404 -0.782
Br 4.518 -5.978 -2.316
Br 1.057 -6.113 -4.718
Br -1.921 -4.113 -3.258
Br -0.966 -7.539 -1.724

=====

4
Lattice="2.952 0.058 0.000 -0.753 2.855 0.000 0.000 0.000 9.780" Properties=species:S:1:pos:R:3 comment="GGA-PBE AlCdAs2, relaxed" relative_energy_mev_per_atom=308 delta_e_f_ev_per_atom=0.170 crystal_system=orthorhombic space_group="Cmmm (65)" pbc="T T T"
As 0.000 0.000 9.311
As 0.000 0.000 5.359
Al 1.100 1.457 7.335
Cd 1.100 1.457 2.445

=====

12
Lattice="-4.535 -0.397 -5.649 -4.989 -5.085 1.267 -6.197 1.755 3.304" Properties=species:S:1:pos:R:3 comment="GGA-PBE Sc6BiTe5, relaxed" e_form_raw_kj_per_mol_fu=-1197 crystal_system=monoclinic space_group="C2/m (12)" pbc="T T T"
Sc -5.884 -0.145 -3.008
Sc -6.114 -2.466 0.410
Sc -2.400 -1.383 -1.102
Sc -7.125 -4.099 -3.280
Sc -9.607 -1.261 -1.488
Sc -9.837 -3.583 1.930
Te -7.238 0.133 -0.405
Te -3.734 -1.104 1.527
Te -4.762 -2.741 -2.191
Te -7.452 -2.226 3.043
Te -8.483 -3.860 -0.673
Bi 0.000 0.000 0.000

=====

4
Lattice="7.681 0.012 0.007 7.162 2.776 0.007 7.162 1.345 2.428" Properties=species:S:1:pos:R:3 comment="GGA-PBE Mn2SiAs, relaxed" e_form_raw_kj_per_mol_fu=7 crystal_system=trigonal space_group="R-3m (166)" pbc="T T T"
As 16.504 3.099 1.831
Mn 21.993 4.130 2.440
Mn 11.015 2.068 1.222
Si 5.501 1.033 0.610

=====

10
Lattice="6.815 0.000 0.000 0.000 6.815 0.000 3.408 3.408 6.358" Properties=species:S:1:pos:R:3 comment="GGA-PBE Cs2OsWCl6, relaxed" e_form_raw_kj_per_mol_fu=-590 crystal_system=tetragonal space_group="I4/mmm (139)" pbc="T T T"
Cs 6.815 3.408 3.179
Cs 3.408 6.815 3.179
Os 0.000 0.000 0.000
W 3.408 3.408 0.000
Cl 3.408 3.408 2.455
Cl 6.815 6.815 3.904
Cl 1.668 1.668 0.000
Cl 5.147 5.147 0.000
Cl 5.147 1.668 0.000
Cl 1.668 5.147 0.000

=====

8
Lattice="8.271 0.000 0.000 0.000 8.271 0.000 4.136 4.136 2.581" Properties=species:S:1:pos:R:3 comment="GGA-PBE Na2AlTc, relaxed" delta_e_f_ev_per_atom=0.945 crystal_system=tetragonal space_group="I-42d (122)" pbc="T T T"
Na 6.179 2.068 0.645
Na 2.092 6.203 0.645
Na 6.203 6.228 1.936
Na 10.339 10.315 1.936
Tc 0.000 0.000 0.000
Tc 8.271 4.136 1.291
Al 4.136 4.136 0.000
Al 4.136 8.271 1.291

=====

8
Lattice="8.041 0.000 0.000 0.000 8.041 0.000 4.020 4.020 2.909" Properties=species:S:1:pos:R:3 comment="GGA-PBE Zr2CdHg, relaxed" relative_energy_mev_per_atom=382 delta_e_f_ev_per_atom=0.234 crystal_system=tetragonal space_group="I-42d (122)" pbc="T T T"
Hg 0.000 0.000 0.000
Hg 8.041 4.020 1.454
Zr 6.085 2.010 0.727
Zr 1.956 6.031 0.727
Zr 6.031 5.976 2.182
Zr 10.051 10.106 2.182
Cd 4.020 4.020 0.000
Cd 4.020 8.041 1.454

=====

8
Lattice="5.822 0.000 0.000 2.911 4.545 0.000 2.911 0.000 4.546" Properties=species:S:1:pos:R:3 comment="GGA-PBE Li4Ag2PdAu, relaxed" delta_e_f_ev_per_atom=-0.354 crystal_system=tetragonal space_group="I4/mmm (139)" pbc="T T T"
Li 1.457 2.272 0.000
Li 7.276 0.000 2.274
Li 4.365 0.000 2.273
Li 4.368 2.273 0.000
Ag 8.733 2.273 2.273
Ag 5.822 2.273 2.273
Pd 5.822 0.000 4.546
Au 2.911 0.000 4.546

=====

4
Lattice="-1.367 0.936 -3.495 -3.077 -1.854 -1.433 -6.372 5.193 1.743" Properties=species:S:1:pos:R:3 comment="GGA-PBE Pa2SbSe, relaxed" e_form_raw_kj_per_mol_fu=-269 relative_energy_mev_per_atom=136 crystal_system=trigonal space_group="R3m (160)" pbc="T T T"
Pa -5.097 3.759 0.860
Pa -2.756 1.127 -0.760
Sb -9.332 4.579 -1.544
Se -5.410 2.140 -1.591

=====

12
Lattice="6.796 0.000 0.000 -3.398 5.901 0.000 0.000 0.000 8.084" Properties=species:S:1:pos:R:3 comment="GGA-PBE SiAg5Se4I2, relaxed" e_form_raw_kj_per_mol_fu=-226 crystal_system=orthorhombic space_group="Amm2 (38)" pbc="T T T"
Si 2.919 0.000 0.000
Ag -0.526 1.573 1.465
Ag 2.581 0.000 4.042
Ag -0.526 1.573 6.619
Ag 2.872 4.328 6.619
Ag 2.872 4.328 1.465
Se 4.210 0.000 1.907
Se 4.210 0.000 6.177
Se 1.672 1.957 0.000
Se -1.726 3.944 0.000
I 3.993 3.838 4.042
I 0.595 2.062 4.042

=====

10
Lattice="4.055 0.000 0.000 0.000 4.055 0.000 0.000 0.000 11.520" Properties=species:S:1:pos:R:3 comment="GGA-PBE Y2TiGa4Pd3, relaxed" delta_e_f_ev_per_atom=-0.700 crystal_system=tetragonal space_group="P-4m2 (115)" pbc="T T T"
Y 2.027 0.000 2.909
Y 0.000 2.027 8.611
Ti 2.027 2.027 5.760
Ga 2.027 2.027 0.000
Ga 0.000 0.000 0.000
Ga 2.027 0.000 7.438
Ga 0.000 2.027 4.082
Pd 0.000 0.000 5.760
Pd 2.027 0.000 9.938
Pd 0.000 2.027 1.582

=====

12
Lattice="-4.697 2.971 -0.300 -1.643 -3.039 -4.364 0.496 -3.820 6.023" Properties=species:S:1:pos:R:3 comment="GGA-PBE SrZn2PbF8, relaxed" e_form_raw_kj_per_mol_fu=-3177 crystal_system=tetragonal space_group="I-4 (82)" pbc="T T T"
Sr 0.000 0.000 0.000
Zn -3.170 -0.034 -2.332
Zn -2.159 -3.446 -0.336
Pb -3.685 -0.441 1.695
F -4.800 -0.953 -2.891
F -2.416 -0.377 -0.564
F -3.548 -2.862 0.909
F -1.679 -5.342 -0.326
F -0.539 -2.490 0.195
F -2.869 -3.092 -2.123
F -1.307 -4.481 2.446
F -3.165 -1.964 3.727

=====

10
Lattice="-2.467 1.351 -2.921 -2.990 -4.914 -2.562 -9.376 3.283 6.624" Properties=species:S:1:pos:R:3 comment="GGA-PBE Ca2Tl2Ag, relaxed" relative_energy_mev_per_atom=0 delta_e_f_ev_per_atom=-0.323 crystal_system=monoclinic space_group="C2/m (12)" pbc="T T T"
Ca -5.725 0.211 -0.697
Ca -11.386 2.886 2.508
Ca -9.108 -0.491 1.837
Ca -3.447 -3.166 -1.368
Tl -6.070 0.805 2.685
Tl -12.394 -0.143 1.958
Tl -8.763 -1.085 -1.544
Tl -2.439 -0.137 -0.818
Ag -8.227 2.797 2.613
Ag -6.606 -3.077 -1.472

=====

12
Lattice="-0.418 -2.473 5.408 5.189 -0.103 -2.933 1.228 10.581 3.832" Properties=species:S:1:pos:R:3 comment="GGA-PBE Tb2Er6MgSc3, relaxed" delta_e_f_ev_per_atom=0.044 crystal_system=monoclinic space_group="C2/m (12)" pbc="T T T"
Tb 3.319 -0.893 -0.152
Tb 1.451 -1.682 2.627
Er 3.543 5.528 6.083
Er 3.906 0.798 2.852
Er 2.456 2.478 0.224
Er 5.412 6.318 3.303
Er 2.092 7.208 3.455
Er 0.587 1.688 3.004
Mg 0.000 0.000 0.000
Sc 4.875 4.796 0.364
Sc 1.124 3.210 5.943
Sc 2.999 4.003 3.154

=====

2
Lattice="-4.381 1.469 0.937 -3.699 -2.503 -1.510 -2.667 -2.361 3.088" Properties=species:S:1:pos:R:3 comment="GGA-PBE AcAl, relaxed" delta_e_f_ev_per_atom=0.185 crystal_system=cubic space_group="Fm-3m (225)" pbc="T T T"
Ac -5.374 -1.697 1.258
Al 0.000 0.000 0.000